(1)
## Li2ZrSe (GGA-PBE)

Data for a relaxed Li2ZrSe crystal.

- N(E_F): 0.643 states/eV per atom
- ΔE_f (raw): -0.5558 eV/atom
- Total magnetization: 0.00 μB per formula unit

Structure (CIF):
```
data_Li2ZrSe
_chemical_formula_sum 'Li2 Zr1 Se1'
_space_group_name_H-M_alt 'P 1 m 1'
_space_group_IT_number 6
_space_group_name_Hall 'P -2y'
_cell_length_a 3.6587
_cell_length_b 3.6047
_cell_length_c 6.1391
_cell_angle_alpha 90.00
_cell_angle_beta 107.28
_cell_angle_gamma 90.00
loop_
_atom_site_label
_atom_site_type_symbol
_atom_site_fract_x
_atom_site_fract_y
_atom_site_fract_z
Li1 Li 0.0000 0.0000 0.0000
Li2 Li 0.3961 0.5000 0.7915
Zr1 Zr 0.6532 0.5000 0.3086
Se1 Se 0.2333 0.0000 0.4695
```

=====

(2)
## NaVTcHg2 (GGA-PBE)

Data for a relaxed NaVTcHg2 crystal.

- N(E_F): 1.483 states/eV per atom
- Electronic total energy: -2.6534 eV/atom
- Total magnetization: 1.67 μB per formula unit

Structure (CIF):
```
data_NaVTcHg2
_chemical_formula_sum 'Na1 V1 Tc1 Hg2'
_space_group_name_H-M_alt 'P 4/m m m'
_space_group_IT_number 123
_space_group_name_Hall '-P 4 2'
_cell_length_a 5.2306
_cell_length_b 5.2306
_cell_length_c 5.1608
_cell_angle_alpha 90.00
_cell_angle_beta 90.00
_cell_angle_gamma 90.00
loop_
_atom_site_label
_atom_site_type_symbol
_atom_site_fract_x
_atom_site_fract_y
_atom_site_fract_z
Na1 Na 0.0000 0.0000 0.0000
V1 V 0.5000 0.5000 0.0000
Tc1 Tc 0.0000 0.0000 0.5000
Hg1 Hg 0.0000 0.5000 0.5000
```

=====

(3)
## FeRe2GeP (GGA-PBE)

Data for a relaxed FeRe2GeP crystal.

- N(E_F): 1.403 states/eV per atom
- Electronic total energy: -6.8903 eV/atom
- Total magnetization: 1.29 μB per formula unit

Structure (CIF):
```
data_FeRe2GeP
_chemical_formula_sum 'Fe1 Re2 Ge1 P1'
_space_group_name_H-M_alt 'P 4/m m m'
_space_group_IT_number 123
_space_group_name_Hall '-P 4 2'
_cell_length_a 4.6070
_cell_length_b 4.6070
_cell_length_c 4.2560
_cell_angle_alpha 90.00
_cell_angle_beta 90.00
_cell_angle_gamma 90.00
loop_
_atom_site_label
_atom_site_type_symbol
_atom_site_fract_x
_atom_site_fract_y
_atom_site_fract_z
Fe1 Fe 0.0000 0.0000 0.0000
Re1 Re 0.0000 0.5000 0.5000
Ge1 Ge 0.0000 0.0000 0.5000
P1 P 0.5000 0.5000 0.0000
```

=====

(4)
## KAg5 (GGA-PBE)

Data for a relaxed KAg5 crystal.

- N(E_F): 0.264 states/eV per atom
- Electronic total energy: -2.4657 eV/atom
- Total magnetization: 0.00 μB per formula unit

Structure (CIF):
```
data_KAg5
_chemical_formula_sum 'K2 Ag10'
_space_group_name_H-M_alt 'C 1 m 1'
_space_group_IT_number 8
_space_group_name_Hall 'C -2y'
_cell_length_a 12.9566
_cell_length_b 3.0223
_cell_length_c 7.1064
_cell_angle_alpha 90.00
_cell_angle_beta 103.07
_cell_angle_gamma 90.00
loop_
_atom_site_label
_atom_site_type_symbol
_atom_site_fract_x
_atom_site_fract_y
_atom_site_fract_z
K1 K 0.0000 0.0000 0.0000
Ag1 Ag 0.0408 0.0000 0.5443
Ag2 Ag 0.1779 0.5000 0.3709
Ag3 Ag 0.2243 0.5000 0.7831
Ag4 Ag 0.2785 0.0000 0.1287
Ag5 Ag 0.3596 0.0000 0.5603
```

=====

(5)
## TiPd2Ru (GGA-PBE)

Data for a relaxed TiPd2Ru crystal.

- N(E_F): 1.003 states/eV per atom
- Electronic total energy: -6.9622 eV/atom
- Total magnetization: 0.00 μB per formula unit

Structure (CIF):
```
data_TiPd2Ru
_chemical_formula_sum 'Ti4 Pd8 Ru4'
_space_group_name_H-M_alt 'F m -3 m'
_space_group_IT_number 225
_space_group_name_Hall '-F 4 2 3'
_cell_length_a 6.2582
_cell_length_b 6.2582
_cell_length_c 6.2582
_cell_angle_alpha 90.00
_cell_angle_beta 90.00
_cell_angle_gamma 90.00
loop_
_atom_site_label
_atom_site_type_symbol
_atom_site_fract_x
_atom_site_fract_y
_atom_site_fract_z
Ti1 Ti 0.0000 0.0000 0.0000
Pd1 Pd 0.2500 0.2500 0.2500
Ru1 Ru 0.0000 0.0000 0.5000
```

=====

(6)
## Dy2ScBi (GGA-PBE)

Data for a relaxed Dy2ScBi crystal.

- N(E_F): 1.218 states/eV per atom
- Total magnetization: 0.00 μB per formula unit
- Energy above the lowest structure with this stoichiometry: 0.193 eV/atom

Structure (CIF):
```
data_Dy2ScBi
_chemical_formula_sum 'Dy6 Sc3 Bi3'
_space_group_name_H-M_alt 'R 3 m'
_space_group_IT_number 160
_space_group_name_Hall 'R 3 -2"'
_cell_length_a 3.5796
_cell_length_b 3.5796
_cell_length_c 31.6887
_cell_angle_alpha 90.00
_cell_angle_beta 90.00
_cell_angle_gamma 120.00
loop_
_atom_site_label
_atom_site_type_symbol
_atom_site_fract_x
_atom_site_fract_y
_atom_site_fract_z
Dy1 Dy 0.0000 0.0000 0.0000
Dy2 Dy 0.0000 0.0000 0.1656
Sc1 Sc 0.0000 0.0000 0.7498
Bi1 Bi 0.0000 0.0000 0.5830
```

=====

(7)
## NaCuHPd2 (GGA-PBE)

Data for a relaxed NaCuHPd2 crystal.

- N(E_F): 0.333 states/eV per atom
- Total magnetization: 0.00 μB per formula unit
- Energy above the lowest structure with this stoichiometry: 0.000 eV/atom

Structure (CIF):
```
data_NaCuHPd2
_chemical_formula_sum 'Na1 Cu1 H1 Pd2'
_space_group_name_H-M_alt 'P 4/m m m'
_space_group_IT_number 123
_space_group_name_Hall '-P 4 2'
_cell_length_a 4.0956
_cell_length_b 4.0956
_cell_length_c 3.8464
_cell_angle_alpha 90.00
_cell_angle_beta 90.00
_cell_angle_gamma 90.00
loop_
_atom_site_label
_atom_site_type_symbol
_atom_site_fract_x
_atom_site_fract_y
_atom_site_fract_z
Na1 Na 0.0000 0.0000 0.0000
Cu1 Cu 0.5000 0.5000 0.0000
H1 H 0.5000 0.5000 0.5000
Pd1 Pd 0.0000 0.5000 0.5000
```

=====

(8)
## LiCo2Sb2 (GGA-PBE)

Data for a relaxed LiCo2Sb2 crystal.

- N(E_F): 0.878 states/eV per atom
- ΔE_f (raw): -0.0409 eV/atom
- Total magnetization: 0.35 μB per formula unit
- Energy above the lowest structure with this stoichiometry: 0.027 eV/atom

Structure (CIF):
```
data_LiCo2Sb2
_chemical_formula_sum 'Li2 Co4 Sb4'
_space_group_name_H-M_alt 'P 4/m b m'
_space_group_IT_number 127
_space_group_name_Hall '-P 4 2ab'
_cell_length_a 7.2357
_cell_length_b 7.2357
_cell_length_c 3.1228
_cell_angle_alpha 90.00
_cell_angle_beta 90.00
_cell_angle_gamma 90.00
loop_
_atom_site_label
_atom_site_type_symbol
_atom_site_fract_x
_atom_site_fract_y
_atom_site_fract_z
Li1 Li 0.0000 0.0000 0.0000
Co1 Co 0.1295 0.3705 0.0000
Sb1 Sb 0.1647 0.6647 0.5000
```